[1]
Compound: CeMgSnPb
Source: the Alexandria database
Functional: PBE-GGA
Structure: optimized geometry

Computed properties:
formation enthalpy at 0 K: -0.277 eV per atom
energy above the lowest structure with this stoichiometry: 0.152 eV/atom
calculated total energy: -4.0866 eV per atom

Unit cell a=5.357 b=5.357 c=5.357 alpha=60.00 beta=60.00 gamma=60.00
Site moments in Bohr magnetons follow the coordinates.
Atoms (fractional coordinates):
Pb 0.750 0.750 0.750  0.03
Mg 0.500 0.500 0.500  0.00
Sn 0.250 0.250 0.250  0.04
Ce 0.000 0.000 0.000  0.85



[2]
Compound: Ce2ThMg2Pb2
Source: the Alexandria database
Functional: PBE-GGA
Structure: optimized geometry

Computed properties:
formation enthalpy at 0 K: -0.062 eV per atom
calculated total energy: -4.3325 eV per atom

Unit cell a=5.123 b=5.123 c=9.264 alpha=73.95 beta=73.95 gamma=60.00
Site moments in Bohr magnetons follow the coordinates.
Atoms (fractional coordinates):
Ce 0.134 0.134 0.599  1.13
Ce 0.866 0.866 0.401  1.13
Th 0.000 0.000 0.000  0.12
Mg 0.591 0.591 0.226  0.01
Mg 0.409 0.409 0.774  0.01
Pb 0.733 0.733 0.800  -0.01
Pb 0.267 0.267 0.200  -0.01



[3]
Compound: CeMgTlPb
Source: the Alexandria database
Functional: PBE-GGA
Structure: optimized geometry

Computed properties:
formation enthalpy at 0 K: -0.223 eV per atom
energy above the lowest structure with this stoichiometry: 0.072 eV/atom
calculated total energy: -3.6235 eV per atom

Unit cell a=5.369 b=5.369 c=5.369 alpha=60.00 beta=60.00 gamma=60.00
Site moments in Bohr magnetons follow the coordinates.
Atoms (fractional coordinates):
Pb 0.250 0.250 0.250  -0.01
Tl 0.750 0.750 0.750  0.00
Mg 0.000 0.000 0.000  -0.01
Ce 0.500 0.500 0.500  0.69



[4]
Compound: CeMgTlPb
Source: the Alexandria database
Functional: PBE-GGA
Structure: optimized geometry

Computed properties:
formation enthalpy at 0 K: -0.295 eV per atom
energy above the lowest structure with this stoichiometry: 0.000 eV/atom
calculated total energy: -3.6953 eV per atom

Unit cell a=4.540 b=4.820 c=4.985 alpha=90.00 beta=90.00 gamma=90.00
Site moments in Bohr magnetons follow the coordinates.
Atoms (fractional coordinates):
Ce 0.500 0.000 0.500  0.80
Mg 0.500 0.500 0.000  0.00
Tl 0.000 0.000 0.000  0.01
Pb 0.000 0.500 0.500  0.00



[5]
Compound: CeMgZrPb
Source: the Alexandria database
Functional: PBE-GGA
Structure: optimized geometry

Computed properties:
formation enthalpy at 0 K: -0.049 eV per atom
calculated total energy: -4.9951 eV per atom

Unit cell a=5.264 b=5.264 c=5.264 alpha=60.00 beta=60.00 gamma=60.00
Site moments in Bohr magnetons follow the coordinates.
Atoms (fractional coordinates):
Pb 0.500 0.500 0.500  -0.01
Mg 0.000 0.000 0.000  0.00
Zr 0.750 0.750 0.750  0.57
Ce 0.250 0.250 0.250  0.88



[6]
Compound: Ce2MgPd9
Source: the Alexandria database
Functional: PBE-GGA
Structure: optimized geometry

Computed properties:
formation enthalpy at 0 K: -0.733 eV per atom
calculated total energy: -5.7491 eV per atom

Unit cell a=4.116 b=4.116 c=12.144 alpha=90.00 beta=90.00 gamma=90.00
Atoms (fractional coordinates):
Ce 0.000 0.000 0.324
Ce 0.000 0.000 0.676
Mg 0.000 0.000 0.000
Pd 0.500 0.500 0.000
Pd 0.500 0.500 0.331
Pd 0.500 0.500 0.669
Pd 0.500 0.000 0.161
Pd 0.500 0.000 0.500
Pd 0.500 0.000 0.839
Pd 0.000 0.500 0.161
Pd 0.000 0.500 0.500
Pd 0.000 0.500 0.839